1.
3
Lattice="3.4273 -1.9739 0.0000 3.4273 1.9739 0.0000 -2.2900 0.0000 5.4901" Properties=species:S:1:pos:R:3 comment="Er2Co, relaxed, DFT PBE" total_magnetization_mub_per_fu=0.0 volume_a3_per_cell=74.3 delta_e_f_ev_per_fu=-0.3 pbc="T T T"
Er 1.1433 0.0000 1.3407
Er 3.4214 0.0000 4.1494
Co 3.4273 0.0000 0.0000

=====

2.
4
Lattice="1.6600 0.9584 8.7752 -1.6600 0.9584 8.7752 0.0000 -1.9168 8.7752" Properties=species:S:1:pos:R:3 comment="AgTe2H, relaxed, DFT PBE" polymorph_energy_ev_per_atom=0.409 total_magnetization_mub_per_fu=0.0 volume_a3_per_cell=83.8 pbc="T T T"
Ag 0.0000 0.0000 0.0000
Te 0.0000 0.0000 2.7545
Te 0.0000 0.0000 23.5710
H 0.0000 0.0000 13.1628

=====

3.
5
Lattice="4.0638 0.0000 0.0000 0.0000 4.0638 0.0000 0.0000 0.0000 5.8038" Properties=species:S:1:pos:R:3 comment="KReIN2, relaxed, DFT PBE" polymorph_energy_ev_per_atom=0.000 total_magnetization_mub_per_fu=0.2 volume_a3_per_cell=95.8 e_form_raw_mev_per_atom=386 pbc="T T T"
K 0.0000 0.0000 0.0000
Re 2.0319 2.0319 2.9019
I 2.0319 2.0319 0.0000
N 0.0000 2.0319 2.9019
N 2.0319 0.0000 2.9019